# 1
First-principles (PBE) data for crystalline Mg2HIr3 at its relaxed geometry, as listed in Alexandria.

a b c (Å): 5.156 4.845 4.842
angles (deg): 120.12 61.90 118.12
Positions (direct):
Ir 0.203 0.085 0.783
Ir 0.203 0.370 0.413
Ir 0.202 0.713 0.128
Mg 0.681 0.884 0.617
Mg 0.730 0.567 0.933
H 0.415 0.127 0.370

Calculated total energy   -33.8 eV for the cell shown
Symmetry   P1 (1)
Calculated volume   14.6 A^3/atom
Magnetic moment   0.00 μB/atom
Relative energy among the computed polymorphs   0.26 kcal/mol of atoms

---

# 2
First-principles (PBE) data for crystalline FeSiHgBiPt at its relaxed geometry, as listed in Alexandria.

a b c (Å): 5.595 3.679 10.057
angles (deg): 90.00 111.05 90.00
Positions (direct):
Pt 0.503 0.000 0.313
Pt 0.503 0.500 0.813
Hg 0.996 0.500 0.119
Hg 0.996 0.000 0.619
Si 0.784 0.500 0.331
Si 0.784 0.000 0.831
Fe 0.021 0.500 0.840
Fe 0.021 0.000 0.340
Bi 0.362 0.000 0.002
Bi 0.362 0.500 0.502

Calculated total energy   -47.9 eV for the cell shown
Symmetry   Cm (8)
Uncorrected formation energy   0.0288 eV/atom
Calculated volume   19.3 A^3/atom
Magnetic moment   0.00 μB/atom
Relative energy among the computed polymorphs   2.00 kcal/mol of atoms

---

Among the records above, which one has the highest calculated total energy? Mg2HIr3